Entry 1:
Computed, not measured: a geometry-optimized MoAs2Cl structure at the GGA-PBE level of DFT.

Cell lengths 4.9885, 4.9885, 2.8229 Å; angles 90.00, 90.00, 90.00 degrees
Element x y z (fractional)
Mo  0.0000  0.0000  0.0000
As  0.0000  0.5000  0.5000
As  0.5000  0.0000  0.5000
Cl  0.5000  0.5000  0.0000

## Properties
**Energy above the lowest structure with this stoichiometry**: 726 meV/atom
**Energy relative to the elements, uncorrected**: 226 kJ/mol of formula units
**VASP energy**: -0.361 Ry/atom
**Crystal system**: tetragonal

=====

Entry 2:
Computed, not measured: a geometry-optimized K2SbW structure at the GGA-PBE level of DFT.

Cell lengths 3.1226, 5.9306, 5.7071 Å; angles 90.00, 98.92, 90.00 degrees
Element x y z (fractional)
K  0.0166  0.0000  0.2492
K  0.9834  0.0000  0.7508
Sb  0.5000  0.5000  0.5000
W  0.5000  0.5000  0.0000

## Properties
**Energy relative to the elements, uncorrected**: 388 kJ/mol of formula units
**VASP energy**: -0.280 Ry/atom
**Crystal system**: monoclinic

=====

Entry 3:
Computed, not measured: a geometry-optimized TaTc2Sb structure at the GGA-PBE level of DFT.

Cell lengths 2.9630, 4.4335, 5.2548 Å; angles 90.00, 94.29, 90.00 degrees
Element x y z (fractional)
Ta  0.0000  0.0000  0.0000
Tc  0.2770  0.5000  0.7632
Tc  0.7230  0.5000  0.2368
Sb  0.5000  0.0000  0.5000

## Properties
**Energy relative to the elements, uncorrected**: 77 kJ/mol of formula units
**VASP energy**: -0.660 Ry/atom
**Crystal system**: monoclinic

=====

Entry 4:
Computed, not measured: a geometry-optimized Cs3CeSb2O8 structure at the GGA-PBE level of DFT.

Cell lengths 6.4514, 6.4514, 8.6449 Å; angles 90.00, 90.00, 120.00 degrees
Element x y z (fractional)
Cs  0.0000  0.0000  0.0000
Cs  0.3333  0.6667  0.7207
Cs  0.6667  0.3333  0.2793
Ce  0.0000  0.0000  0.5000
Sb  0.3333  0.6667  0.2640
Sb  0.6667  0.3333  0.7360
O  0.1707  0.3414  0.3428
O  0.1707  0.8293  0.3428
O  0.3333  0.6667  0.0468
O  0.3414  0.1707  0.6572
O  0.6586  0.8293  0.3428
O  0.6667  0.3333  0.9532
O  0.8293  0.1707  0.6572
O  0.8293  0.6586  0.6572

## Properties
**Energy relative to the elements, uncorrected**: -2503 kJ/mol of formula units
**VASP energy**: -0.432 Ry/atom
**Crystal system**: trigonal

=====

> What is the energy relative to the elements, uncorrected in the fourth record?

-2503 kJ/mol of formula units

=====

> Among the records above, which one has the lowest VASP energy?

TaTc2Sb

=====

> Among the records above, which one has the highest VASP energy?

K2SbW